Compound: Cs2CoS
Source: the Alexandria database
Functional: GGA-PBE
Structure: relaxed

Cell lengths 8.2776, 8.2776, 8.2776 Å; angles 90.00, 90.00, 90.00 degrees
Last column: nearest neighbours and their distance in Å.
Space group Fm-3m (No. 225)
Asymmetric unit:
Cs 0.2500 0.2500 0.2500 (multiplicity 8)  4 S 3.58, 4 Co 3.58
Co 0.0000 0.0000 0.0000 (multiplicity 4)  8 Cs 3.58
S 0.0000 0.0000 0.5000 (multiplicity 4)  8 Cs 3.58

* M_tot: 12.0 Bohr magnetons per cell
* total energy: -2.838 eV per atom
* DOS(E_F): 57.47 states/eV/cell